[1]
VASP calculation (PBE) on crystalline Tb12Hg5Ir2 at its relaxed geometry.

The value obtained for the uncorrected energy is -4.26 eV/atom. The calculation puts the energy relative to the elements at -31.3 kJ/mol of atoms.

The space group is C2/m (No. 12) and the conventional cell measures 16.195, 7.960 and 8.988 Å, with angles of 90.00, 107.53 and 90.00 degrees. Symmetry generates all atoms from Tb at (0.019, 0.000, 0.322), Tb at (0.083, 0.500, 0.344), Tb at (0.120, 0.203, 0.050), Tb at (0.172, 0.238, 0.675), Hg at (0.000, 0.500, 0.000), Hg at (0.213, 0.000, 0.409), Hg at (0.236, 0.500, 0.035) and Ir at (0.000, 0.280, 0.500).



[2]
VASP calculation (PBE) on crystalline HgBi2W at its relaxed geometry.

The value obtained for the uncorrected energy is -4.23 eV/atom. The calculation puts the energy relative to the elements at 99.0 kJ/mol of atoms.

The space group is I-42d (No. 122) and the conventional cell measures 6.706, 6.706 and 13.017 Å, with angles of 90.00, 90.00 and 90.00 degrees. Symmetry generates all atoms from Hg at (0.000, 0.000, 0.000), Bi at (0.208, 0.250, 0.625) and W at (0.000, 0.000, 0.500).



[3]
VASP calculation (PBE) on crystalline BaCrW2 at its relaxed geometry.

The calculation puts the excess energy over the best structure of this formula in the dataset at 260 kJ/mol of formula units. The value obtained for the uncorrected energy is -7.83 eV/atom. The calculation puts the energy relative to the elements at 147.7 kJ/mol of atoms.

The space group is P2/m (No. 10) and the conventional cell measures 4.722, 3.156 and 5.369 Å, with angles of 90.00, 90.75 and 90.00 degrees. Symmetry generates all atoms from Ba at (0.000, 0.000, 0.000), Cr at (0.500, 0.500, 0.000), W at (0.000, 0.500, 0.500) and W at (0.500, 0.000, 0.500).



[4]
VASP calculation (PBE) on crystalline NdGa4Pt2 at its relaxed geometry.

The calculation puts the excess energy over the best structure of this formula in the dataset at 90 kJ/mol of formula units. The value obtained for the uncorrected energy is -4.83 eV/atom. The calculation puts the energy relative to the elements at -66.5 kJ/mol of atoms.

The space group is P4_2/mnm (No. 136) and the conventional cell measures 7.872, 7.872 and 4.250 Å, with angles of 90.00, 90.00 and 90.00 degrees. Symmetry generates all atoms from Nd at (0.000, 0.000, 0.000), Ga at (0.085, 0.331, 0.500) and Pt at (0.217, 0.783, 0.500).



[5]
VASP calculation (PBE) on crystalline CdCoIr at its relaxed geometry.

The calculation puts the excess energy over the best structure of this formula in the dataset at 90 kJ/mol of formula units. The value obtained for the uncorrected energy is -5.15 eV/atom. The calculation puts the energy relative to the elements at 46.2 kJ/mol of atoms.

The space group is F-43m (No. 216) and the conventional cell measures 5.888, 5.888 and 5.888 Å, with angles of 90.00, 90.00 and 90.00 degrees. Symmetry generates all atoms from Cd at (0.000, 0.000, 0.000), Co at (0.250, 0.250, 0.750) and Ir at (0.000, 0.000, 0.500).



[6]
VASP calculation (PBE) on crystalline CeGdTlGa at its relaxed geometry.

The value obtained for the uncorrected energy is -6.72 eV/atom. The calculation puts the energy relative to the elements at -35.9 kJ/mol of atoms.

The space group is F-43m (No. 216) and the conventional cell measures 7.522, 7.522 and 7.522 Å, with angles of 90.00, 90.00 and 90.00 degrees. Symmetry generates all atoms from Ce at (0.000, 0.000, 0.000), Gd at (0.000, 0.000, 0.500), Tl at (0.250, 0.250, 0.250) and Ga at (0.250, 0.250, 0.750).



Repeat the fifth record exactly.
VASP calculation (PBE) on crystalline CdCoIr at its relaxed geometry.

The calculation puts the excess energy over the best structure of this formula in the dataset at 90 kJ/mol of formula units. The value obtained for the uncorrected energy is -5.15 eV/atom. The calculation puts the energy relative to the elements at 46.2 kJ/mol of atoms.

The space group is F-43m (No. 216) and the conventional cell measures 5.888, 5.888 and 5.888 Å, with angles of 90.00, 90.00 and 90.00 degrees. Symmetry generates all atoms from Cd at (0.000, 0.000, 0.000), Co at (0.250, 0.250, 0.750) and Ir at (0.000, 0.000, 0.500).



> What is the energy relative to the elements in the sixth record?

-35.9 kJ/mol of atoms



What did the first record say?
VASP calculation (PBE) on crystalline Tb12Hg5Ir2 at its relaxed geometry.

The value obtained for the uncorrected energy is -4.26 eV/atom. The calculation puts the energy relative to the elements at -31.3 kJ/mol of atoms.

The space group is C2/m (No. 12) and the conventional cell measures 16.195, 7.960 and 8.988 Å, with angles of 90.00, 107.53 and 90.00 degrees. Symmetry generates all atoms from Tb at (0.019, 0.000, 0.322), Tb at (0.083, 0.500, 0.344), Tb at (0.120, 0.203, 0.050), Tb at (0.172, 0.238, 0.675), Hg at (0.000, 0.500, 0.000), Hg at (0.213, 0.000, 0.409), Hg at (0.236, 0.500, 0.035) and Ir at (0.000, 0.280, 0.500).



> What is the uncorrected energy in the first record?

-4.26 eV/atom